Entry 1:
Computed, not measured: crystalline LaAlZn2Pt at its relaxed geometry at the GGA-PBE level of DFT.

Cell lengths 4.0800, 4.3488, 6.3734 Å; angles 109.95, 108.67, 90.00 degrees
Last column: nearest neighbours and their distance in Å.
Atoms (fractional coordinates):
La1 0.4416 0.4416 0.8832  8 Zn 3.25-3.59, 4 Pt 3.25, 4 Al 3.50-3.54
Al1 0.1938 0.6938 0.3875  2 Pt 2.53, 2 Zn 2.68
Zn1 0.6948 0.1948 0.3896  2 Zn 2.57, 2 Pt 2.63
Zn2 0.0554 0.0554 0.1108  2 Zn 2.57, 1 Pt 2.58, 2 Al 2.68
Pt1 0.8266 0.8266 0.6531  2 Al 2.53, 3 Zn 2.58-2.63

Summary:
uncorrected energy: -4.129 eV per atom
ρ: 8.2 g/cm3
space group: Imm2

***

Entry 2:
Computed, not measured: crystalline La2AlZn3Pt4 at its relaxed geometry at the GGA-PBE level of DFT.

Cell lengths 4.2685, 4.2685, 10.7634 Å; angles 90.00, 90.00, 90.00 degrees
Last column: nearest neighbours and their distance in Å.
Atoms (fractional coordinates):
La1 0.5000 0.0000 0.2422  6 Zn 3.24-3.50, 8 Pt 3.31-3.37, 2 Al 3.50
La2 0.0000 0.5000 0.7578  6 Zn 3.24-3.50, 8 Pt 3.31-3.37, 2 Al 3.50
Al1 0.5000 0.5000 0.5000  4 Pt 2.57
Zn1 0.0000 0.0000 0.5000  4 Pt 2.57
Zn2 0.5000 0.0000 0.8678  5 Pt 2.53-2.56
Zn3 0.0000 0.5000 0.1322  5 Pt 2.53-2.56
Pt1 0.5000 0.5000 0.0000  4 Zn 2.56
Pt2 0.0000 0.0000 0.0000  4 Zn 2.56
Pt3 0.5000 0.0000 0.6324  3 Zn 2.53-2.57, 2 Al 2.57
Pt4 0.0000 0.5000 0.3676  3 Zn 2.53-2.57, 2 Al 2.57

Summary:
uncorrected energy: -5.032 eV per atom
ρ: 10.8 g/cm3
space group: P-4m2

***

Entry 3:
Computed, not measured: crystalline La2AlZnPt6 at its relaxed geometry at the GGA-PBE level of DFT.

Cell lengths 8.3073, 5.7004, 8.3081 Å; angles 69.94, 40.13, 90.00 degrees
Last column: nearest neighbours and their distance in Å.
Atoms (fractional coordinates):
La1 0.2888 0.7105 0.5788  6 Pt 3.01
La2 0.7112 0.2895 0.4212  6 Pt 3.01
Al1 0.5000 0.5000 0.0000  6 Pt 2.48
Zn1 0.0000 0.0000 0.0000  6 Pt 2.56
Pt1 0.2510 0.7500 0.0088  1 Al 2.48, 1 Zn 2.56
Pt2 0.7490 0.7586 0.9912  1 Al 2.48, 1 Zn 2.56
Pt3 0.2403 0.2502 0.4995  1 Al 2.48, 1 Zn 2.56
Pt4 0.7490 0.2500 0.9912  1 Al 2.48, 1 Zn 2.56
Pt5 0.2510 0.2414 0.0088  1 Al 2.48, 1 Zn 2.56
Pt6 0.7597 0.7498 0.5005  1 Al 2.48, 1 Zn 2.56

Summary:
uncorrected energy: -5.948 eV per atom
ρ: 11.9 g/cm3
space group: R-3m

***

Entry 4:
Computed, not measured: crystalline La2Al12ZnPt3 at its relaxed geometry at the GGA-PBE level of DFT.

Cell lengths 7.9121, 7.9121, 7.9121 Å; angles 69.60, 69.60, 69.60 degrees
Last column: nearest neighbours and their distance in Å.
Atoms (fractional coordinates):
La1 0.6014 0.6014 0.6014  6 Al 3.16-3.27
La2 0.3986 0.3986 0.3986  6 Al 3.16-3.27
Al1 0.2694 0.2694 0.8552  2 Pt 2.50
Al2 0.8671 0.8671 0.3548  1 Pt 2.45, 1 Zn 2.60
Al3 0.3548 0.8671 0.8671  1 Pt 2.45, 1 Zn 2.60
Al4 0.8552 0.2694 0.2694  2 Pt 2.50
Al5 0.8671 0.3548 0.8671  1 Pt 2.45, 1 Zn 2.60
Al6 0.2694 0.8552 0.2694  2 Pt 2.50
Al7 0.7306 0.7306 0.1448  2 Pt 2.50
Al8 0.1329 0.1329 0.6452  1 Pt 2.45, 1 Zn 2.60
Al9 0.6452 0.1329 0.1329  1 Pt 2.45, 1 Zn 2.60
Al10 0.1448 0.7306 0.7306  2 Pt 2.50
Al11 0.1329 0.6452 0.1329  1 Pt 2.45, 1 Zn 2.60
Al12 0.7306 0.1448 0.7306  2 Pt 2.50
Zn1 0.0000 0.0000 0.0000  6 Al 2.60
Pt1 0.5000 0.0000 0.0000  6 Al 2.45-2.50
Pt2 0.0000 0.5000 0.0000  6 Al 2.45-2.50
Pt3 0.0000 0.0000 0.5000  6 Al 2.45-2.50

Summary:
uncorrected energy: -4.310 eV per atom
ρ: 4.9 g/cm3
space group: R-3m